# 1
Computed, not measured: a relaxed structure of AlAgSe at the PBE level of DFT.

Its energy relative to the lowest polymorph listed for this composition is 84 meV per atom. As for the density of states at the Fermi level: 0.14 states/eV/atom. Its uncorrected formation energy is -0.1918 eV/atom. As for the calculated total energy: -127.8 eV for the cell shown. The value obtained for the magnetic moment is 0.0 μB/f.u.

The structure belongs to space group Cc (No. 9); the cell edges are 16.9411, 5.5316 and 11.6784 Å and the angles 90.00°, 128.15° and 90.00°. The asymmetric unit holds Al at (0.0000, 0.0119, 0.0000), Al at (0.1257, 0.2351, 0.9036), Al at (0.3034, 0.4724, 0.5992), Ag at (0.1283, 0.2602, 0.3880), Ag at (0.3015, 0.0545, 0.0889), Ag at (0.4930, 0.0566, 0.4105), Se at (0.1161, 0.2667, 0.6856), Se at (0.3518, 0.2822, 0.8244) and Se at (0.4418, 0.2654, 0.6196).



# 2
Computed, not measured: a relaxed structure of AlAgSe4 at the PBE level of DFT.

As for the density of states at the Fermi level: 0.31 states/eV/atom. Its uncorrected formation energy is 0.5070 eV/atom. As for the calculated total energy: -70.0 eV for the cell shown. The value obtained for the magnetic moment is 0.0 μB/f.u.

The structure belongs to space group F-43m (No. 216); the cell edges are 8.1810, 8.1810 and 8.1810 Å and the angles 90.00°, 90.00° and 90.00°. The asymmetric unit holds Al at (0.0000, 0.0000, 0.0000), Ag at (0.2500, 0.2500, 0.2500) and Se at (0.1251, 0.1251, 0.6251).